Below is a relaxed Ba4Cu3SeO12 crystal, with properties calculated at the PBE-GGA level.

Cell lengths 8.0689, 8.0689, 8.0689 Å; angles 90.00, 90.00, 90.00 degrees
Space group Im-3m (No. 229)
One atom of each set of equivalent atoms:
Ba 0.2500 0.2500 0.2500
Cu 0.0000 0.0000 0.5000
Se 0.0000 0.0000 0.0000
O 0.0000 0.0000 0.2305
O 0.0000 0.2500 0.5000

## Properties
Uncorrected formation energy = -1.3771 eV/atom